# 1
This record from the Open Quantum Materials Database describes a geometry-optimized Hf3Ag4Sn4 structure. The functional is GGA-PBE.

Values from the calculation:
ΔE to the lowest computed polymorph	0	meV per atom

a b c (Å): 6.749 4.379 8.221
angles (deg): 90.00 91.71 90.00
Space group Pm (No. 6)
Asymmetric unit:
Hf  0.000  0.000  0.000 x1
Hf  0.072  0.500  0.406 x1
Hf  0.514  0.000  0.928 x1
Ag  0.168  0.500  0.764 x1
Ag  0.367  0.000  0.281 x1
Ag  0.718  0.500  0.132 x1
Ag  0.908  0.000  0.640 x1
Sn  0.280  0.500  0.088 x1
Sn  0.338  0.000  0.604 x1
Sn  0.742  0.500  0.790 x1
Sn  0.791  0.000  0.318 x1

---

# 2
This record from the Open Quantum Materials Database describes a geometry-optimized NdSc structure. The functional is GGA-PBE.

Values from the calculation:
ΔE to the lowest computed polymorph	0	meV per atom
formation energy	101	meV/atom

a b c (Å): 3.5040 3.5040 5.5164
angles (deg): 90.00 90.00 120.00
Space group P-6m2 (No. 187)
Asymmetric unit:
Nd  0.0000  0.0000  0.0000 x1
Sc  0.6667  0.3333  0.5000 x1

---

# 3
This record from the Open Quantum Materials Database describes a geometry-optimized TbScTe2 structure. The functional is GGA-PBE.

Values from the calculation:
energy	-22.2	eV/cell

a b c (Å): 4.1969 4.1969 7.2437
angles (deg): 90.00 90.00 120.00
Space group P-3m1 (No. 164)
Asymmetric unit:
Tb  0.0000  0.0000  0.0000 x1
Sc  0.0000  0.0000  0.5000 x1
Te  0.3333  0.6667  0.2660 x2

---

# 4
This record from the Open Quantum Materials Database describes a geometry-optimized Sm4InGe4Pd2 structure. The functional is GGA-PBE.

Values from the calculation:
energy	-120.0	eV/cell

a b c (Å): 16.126 4.373 7.268
angles (deg): 90.00 108.18 90.00
Space group C2/m (No. 12)
Asymmetric unit:
Sm  0.089  0.000  0.386 x4
Sm  0.155  0.000  0.928 x4
In  0.000  0.500  0.000 x2
Ge  0.060  0.500  0.661 x4
Ge  0.196  0.500  0.255 x4
Pd  0.216  0.500  0.643 x4